Material: NaAu2Br
Method: DFT, GGA-PBE
State: optimized geometry

Cell lengths 4.994, 4.994, 4.994 Å; angles 60.00, 60.00, 60.00 degrees
Fractional positions:
Na 0.000 0.000 0.000
Au 0.250 0.250 0.250
Au 0.750 0.750 0.750
Br 0.500 0.500 0.500

Properties
M_tot   0.00 μB per cell
Theoretical density   9370 kg/m3
Relative energy among the computed polymorphs   0.519 eV/atom
DOS(E_F)   0.8 states/eV/f.u.
Formation energy (no corrections)   0.11 eV/atom